[1]
VASP calculation (GGA-PBE) on crystalline Cu2PtCl at its relaxed geometry.

Calculated values
Energy relative to the elements, uncorrected, eV per atom: 0.3991
Energy relative to the lowest polymorph listed for this composition, eV per atom: 0.4422
Crystal system: cubic
Electronic total energy, eV per atom: -3.621

Lattice parameters (Å, degrees): 4.4058 4.4058 4.4058 60.00 60.00 60.00
Sites, in units of the cell vectors:
Cu 0.2500 0.2500 0.2500
Cu 0.7500 0.7500 0.7500
Pt 0.5000 0.5000 0.5000
Cl 0.0000 0.0000 0.0000

---

[2]
VASP calculation (GGA-PBE) on crystalline Pm2InGaPt6 at its relaxed geometry.

Calculated values
ΔH_f (0 K), meV/atom: -768
Crystal system: monoclinic
Electronic total energy, eV per atom: -5.919

Lattice parameters (Å, degrees): 8.9745 5.6292 8.9803 71.76 36.55 90.03
Sites, in units of the cell vectors:
Pm 0.2978 0.7013 0.5973
Pm 0.7022 0.2987 0.4027
In 0.5000 0.5000 0.0000
Ga 0.0000 0.0000 0.0000
Pt 0.2457 0.7561 0.9833
Pt 0.7544 0.7390 0.0167
Pt 0.2593 0.2441 0.5114
Pt 0.7543 0.2439 0.0167
Pt 0.2456 0.2610 0.9833
Pt 0.7407 0.7559 0.4886

---

[3]
VASP calculation (GGA-PBE) on crystalline Ru3WI at its relaxed geometry.

Calculated values
Energy relative to the elements, uncorrected, eV per atom: 1.6918
Energy relative to the lowest polymorph listed for this composition, eV per atom: 0.0000
Crystal system: cubic
Electronic total energy, eV per atom: -6.774

Lattice parameters (Å, degrees): 4.7794 4.7794 4.7794 90.00 90.00 90.00
Sites, in units of the cell vectors:
I 0.5000 0.5000 0.5000
Ru 0.0000 0.5000 0.0000
Ru 0.0000 0.0000 0.5000
Ru 0.5000 0.0000 0.0000
W 0.0000 0.0000 0.0000

---

[4]
VASP calculation (GGA-PBE) on crystalline Mn3SiRu4 at its relaxed geometry.

Calculated values
Energy relative to the elements, uncorrected, eV per atom: -0.1956
Crystal system: orthorhombic
Electronic total energy, eV per atom: -8.950

Lattice parameters (Å, degrees): 2.9752 4.2275 8.4308 90.00 90.00 90.00
Sites, in units of the cell vectors:
Ru 0.0000 0.0000 0.5000
Ru 0.0000 0.5000 0.7578
Ru 0.0000 0.0000 0.0000
Ru 0.0000 0.5000 0.2422
Si 0.5000 0.5000 0.0000
Mn 0.5000 0.0000 0.2507
Mn 0.5000 0.5000 0.5000
Mn 0.5000 0.0000 0.7493

---

[5]
VASP calculation (GGA-PBE) on crystalline TaCd at its relaxed geometry.

Calculated values
ΔH_f (0 K), meV/atom: 605
Crystal system: cubic
Electronic total energy, eV per atom: -5.778

Lattice parameters (Å, degrees): 4.8087 4.8087 4.8087 60.00 60.00 60.00
Sites, in units of the cell vectors:
Cd 0.0000 0.0000 0.0000
Cd 0.7500 0.7500 0.7500
Ta 0.2500 0.2500 0.2500
Ta 0.5000 0.5000 0.5000

---

[6]
VASP calculation (GGA-PBE) on crystalline UTiAlTc at its relaxed geometry.

Calculated values
ΔH_f (0 K), meV/atom: -178
Crystal system: cubic
Electronic total energy, eV per atom: -8.501

Lattice parameters (Å, degrees): 4.5807 4.5807 4.5807 60.00 60.00 60.00
Sites, in units of the cell vectors:
Al 0.0000 0.0000 0.0000
U 0.5000 0.5000 0.5000
Tc 0.7500 0.7500 0.7500
Ti 0.2500 0.2500 0.2500

---

[7]
VASP calculation (GGA-PBE) on crystalline Li2CaLaAu2 at its relaxed geometry.

Calculated values
ΔH_f (0 K), meV/atom: -541
Crystal system: trigonal
Electronic total energy, eV per atom: -3.426

Lattice parameters (Å, degrees): 4.6242 4.6242 7.4927 90.00 90.00 120.00
Sites, in units of the cell vectors:
Li 0.3333 0.6667 0.7190
Li 0.6667 0.3333 0.2810
Ca 0.0000 0.0000 0.5000
La 0.0000 0.0000 0.0000
Au 0.3333 0.6667 0.2543
Au 0.6667 0.3333 0.7457

---

[8]
VASP calculation (GGA-PBE) on crystalline Al2BiPbC at its relaxed geometry.

Calculated values
ΔH_f (0 K), meV/atom: 2167
Crystal system: tetragonal
Electronic total energy, eV per atom: -2.693

Lattice parameters (Å, degrees): 5.3467 6.1395 5.3467 90.00 90.00 90.00
Sites, in units of the cell vectors:
Pb 0.0000 0.0000 0.0000
C 0.5000 0.5000 0.5000
Bi 0.0000 0.5000 0.0000
Al 0.0000 0.0000 0.5000
Al 0.5000 0.0000 0.0000

---

[9]
VASP calculation (GGA-PBE) on crystalline ScZn at its relaxed geometry.

Calculated values
ΔH_f (0 K), meV/atom: 4
Crystal system: trigonal
Electronic total energy, eV per atom: -3.799

Lattice parameters (Å, degrees): 4.6935 4.6935 4.6935 61.32 61.32 61.32
Sites, in units of the cell vectors:
Sc 0.3710 0.3710 0.3710
Sc 0.6290 0.6290 0.6290
Zn 0.1205 0.1205 0.1205
Zn 0.8795 0.8795 0.8795

---

[10]
VASP calculation (GGA-PBE) on crystalline CaDy2Ho at its relaxed geometry.

Calculated values
Energy relative to the lowest polymorph listed for this composition, eV per atom: 0.1104
ΔH_f (0 K), meV/atom: 173
Crystal system: cubic
Electronic total energy, eV per atom: -3.773

Lattice parameters (Å, degrees): 5.7267 5.7267 5.7267 60.00 60.00 60.00
Sites, in units of the cell vectors:
Ca 0.5000 0.5000 0.5000
Ho 0.0000 0.0000 0.0000
Dy 0.2500 0.2500 0.2500
Dy 0.7500 0.7500 0.7500

---

[11]
VASP calculation (GGA-PBE) on crystalline Pr4CdGaHg2 at its relaxed geometry.

Calculated values
ΔH_f (0 K), meV/atom: -441
Crystal system: trigonal
Electronic total energy, eV per atom: -3.399

Lattice parameters (Å, degrees): 5.4332 5.4332 9.4075 73.22 73.22 60.00
Sites, in units of the cell vectors:
Pr 0.3800 0.3800 0.8599
Pr 0.8704 0.8704 0.3888
Pr 0.1296 0.1296 0.6112
Pr 0.6200 0.6200 0.1401
Cd 0.0000 0.0000 0.0000
Ga 0.5000 0.5000 0.5000
Hg 0.7445 0.7445 0.7666
Hg 0.2555 0.2555 0.2334

---

[12]
VASP calculation (GGA-PBE) on crystalline CsPdPt at its relaxed geometry.

Calculated values
Energy relative to the lowest polymorph listed for this composition, eV per atom: 0.2757
ΔH_f (0 K), meV/atom: 196
Crystal system: orthorhombic
Electronic total energy, eV per atom: -3.833

Lattice parameters (Å, degrees): 4.6596 7.0007 7.0746 119.66 109.23 90.00
Sites, in units of the cell vectors:
Cs 0.7530 0.7530 0.5059
Cs 0.2470 0.2470 0.4941
Pd 0.0000 0.6830 0.0000
Pd 0.0000 0.3170 0.0000
Pt 0.5000 0.1796 0.0000
Pt 0.5000 0.8204 0.0000

---

Question: Which of these has the lowest electronic total energy?
Answer: Mn3SiRu4